(1)
Compound: Cr2RhPb
Source: the Alexandria database
Functional: PBE-GGA
Structure: relaxed

The calculation puts the calculated formation energy at 39.4 kJ/mol of atoms.

The structure in POSCAR format:
```
Cr2RhPb
1.0
3.1403 -0.0021 0.0000
0.0020 3.1403 0.0000
0.0000 0.0000 7.2121
Cr Pb Rh
2 1 1
Cartesian
0.0000 0.0000 6.8707
0.0000 0.0000 3.9474
1.5712 1.5691 1.8030
1.5712 1.5691 5.4090
```

(2)
Compound: CrCuBr
Source: the Alexandria database
Functional: PBE-GGA
Structure: relaxed

For the uncorrected formation energy, the calculation gives 441 meV per atom. The excess energy over the best structure of this formula in the dataset comes out at 92 meV/atom.

The structure in POSCAR format:
```
CrCuBr
1.0
6.3444 0.0142 -0.0110
5.2036 3.0816 -0.0155
1.1409 -0.7706 2.9690
Br Cr Cu
1 1 1
Cartesian
1.2708 -0.7224 2.9317
8.1112 1.8189 0.9627
4.4478 0.4579 2.0172
```

(3)
Compound: Hf2As2Br
Source: the Alexandria database
Functional: PBE-GGA
Structure: relaxed

For the uncorrected formation energy, the calculation gives -835 meV per atom.

The structure in POSCAR format:
```
Hf2As2Br
1.0
7.5811 0.0000 0.0000
0.0000 7.5811 0.0000
0.0000 0.0000 3.5104
As Hf Br
4 4 2
Cartesian
1.0612 4.8518 1.7552
4.8518 6.5199 1.7552
6.5199 2.7293 1.7552
2.7293 1.0612 1.7552
2.6724 6.4630 0.0000
6.4630 4.9087 0.0000
4.9087 1.1182 0.0000
1.1182 2.6724 0.0000
0.0000 0.0000 0.0000
3.7906 3.7906 0.0000
```

(4)
Compound: La2HfSn
Source: the Alexandria database
Functional: PBE-GGA
Structure: relaxed

The calculation puts the calculated formation energy at 12.2 kJ/mol of atoms.

The structure in POSCAR format:
```
La2HfSn
1.0
-6.2785 4.6747 4.1203
-5.7305 -2.0340 -6.4244
-6.8610 -1.2094 0.4129
Hf Sn La
2 2 4
Cartesian
0.0000 0.0000 0.0000
-9.5720 2.3928 1.6906
-6.0045 1.3204 -1.1521
-9.2980 -0.9615 -3.5818
-6.3097 2.3309 1.8452
-6.1275 -0.9551 -3.3669
-9.6910 0.0684 -0.6014
-15.6117 1.4185 -1.6595
```

(5)
Compound: Pu2Co3As4Rh
Source: the Alexandria database
Functional: PBE-GGA
Structure: relaxed

The calculation puts the calculated formation energy at -59.0 kJ/mol of atoms.

The structure in POSCAR format:
```
Pu2Co3As4Rh
1.0
-0.2147 -2.7002 -3.1548
-3.0332 -2.0555 1.9657
-6.4610 5.4742 -4.2456
Pu Co As Rh
2 3 4 1
Cartesian
-1.6721 -0.0243 -2.6056
-6.4129 3.1206 -2.2345
-3.2305 2.7371 -2.1228
-5.8398 3.5068 -5.3442
-2.2452 -0.4104 0.5041
-1.6240 -2.3778 -0.5945
0.0000 0.0000 0.0000
-4.2624 2.1703 -4.3077
-3.8226 0.9261 -0.5324
-4.8545 0.3593 -2.7173
```

(6)
Compound: Sc2ReHg
Source: the Alexandria database
Functional: PBE-GGA
Structure: relaxed

The calculation puts the calculated formation energy at 0.1 kJ/mol of atoms.

The structure in POSCAR format:
```
Sc2ReHg
1.0
5.4482 -0.3700 0.3967
4.4256 3.1991 0.3967
1.5396 0.4411 4.1576
Hg Re Sc
1 1 2
Cartesian
5.6330 1.6140 2.5019
8.5182 2.4407 3.7341
1.6634 0.4766 4.1047
2.8451 0.8152 1.2434
```

(7)
Compound: Sm2Be4Ge3Pd
Source: the Alexandria database
Functional: PBE-GGA
Structure: relaxed

The calculation puts the calculated formation energy at -49.0 kJ/mol of atoms.

The structure in POSCAR format:
```
Sm2Be4Ge3Pd
1.0
3.9807 0.0000 0.0000
0.0000 3.9807 0.0000
0.0000 0.0000 9.8967
Sm Be Ge Pd
2 4 3 1
Cartesian
1.9904 0.0000 2.4385
0.0000 1.9904 7.4582
1.9904 1.9904 0.0000
0.0000 0.0000 0.0000
1.9904 0.0000 6.2386
0.0000 1.9904 3.6581
0.0000 0.0000 4.9484
1.9904 0.0000 8.5820
0.0000 1.9904 1.3147
1.9904 1.9904 4.9484
```

no.,total magnetic moment (μB/cell)
1,7.07
2,4.09
3,0.00
4,0.00
5,10.83
6,0.00
7,0.00